Entry from the Alexandria database: a geometry-optimized LaSiSb2 structure (GGA-PBEsol).

a = 4.0486 Å, b = 4.0486 Å, c = 8.2220 Å
α = 75.75°, β = 75.75°, γ = 60.00°
Sites, in units of the cell vectors:
La: 0.2387 0.2387 0.2839
Sb: 0.0012 0.0012 0.9963
Sb: 0.7680 0.7680 0.6962
Si: 0.4921 0.4921 0.5237

Values from the calculation:
uncorrected formation energy = -0.240 eV per atom
SG = R3m, No. 160

---

Entry from the Alexandria database: a geometry-optimized KRbAl2Ni structure (GGA-PBEsol).

a = 4.6704 Å, b = 4.6704 Å, c = 5.9514 Å
α = 90.00°, β = 90.00°, γ = 90.00°
Sites, in units of the cell vectors:
Ni: 0.0000 0.0000 0.0000
K: 0.0000 0.0000 0.5000
Al: 0.0000 0.5000 0.0000
Al: 0.5000 0.0000 0.0000
Rb: 0.5000 0.5000 0.5000

Values from the calculation:
E_form = 0.169 eV/atom
SG = P4/mmm, No. 123

---

Entry from the Alexandria database: a geometry-optimized MgAg2Au structure (GGA-PBEsol).

a = 3.0435 Å, b = 4.7726 Å, c = 5.0459 Å
α = 102.26°, β = 107.55°, γ = 90.00°
Sites, in units of the cell vectors:
Mg: 0.0000 0.5000 0.0000
Au: 0.5000 0.0000 0.0000
Ag: 0.2492 0.2497 0.4984
Ag: 0.7508 0.7503 0.5016

Values from the calculation:
E_form = -0.238 eV/atom
SG = C2/m, No. 12

---

Entry from the Alexandria database: a geometry-optimized MgAsW structure (GGA-PBEsol).

a = 4.3289 Å, b = 4.3289 Å, c = 4.3289 Å
α = 60.00°, β = 60.00°, γ = 60.00°
Site moments in Bohr magnetons follow the coordinates.
Sites, in units of the cell vectors:
As: 0.5000 0.5000 0.5000  -0.02
Mg: 0.2500 0.2500 0.2500  0.04
W: 0.0000 0.0000 0.0000  1.66

Values from the calculation:
E above lowest polymorph = 1234 meV/atom
E_form = 1.420 eV/atom
SG = F-43m, No. 216

---

Entry from the Alexandria database: a geometry-optimized CoTeAu4 structure (GGA-PBEsol).

a = 5.4276 Å, b = 5.4276 Å, c = 5.4276 Å
α = 60.00°, β = 60.00°, γ = 60.00°
Site moments in Bohr magnetons follow the coordinates.
Sites, in units of the cell vectors:
Au: 0.3754 0.3754 0.3754  0.03
Au: 0.3754 0.3754 0.8738  0.03
Au: 0.8738 0.3754 0.3754  0.03
Au: 0.3754 0.8738 0.3754  0.03
Co: 0.7500 0.7500 0.7500  2.06
Te: 0.0000 0.0000 0.0000  0.03

Values from the calculation:
uncorrected formation energy = 0.461 eV per atom
SG = F-43m, No. 216

---

Entry from the Alexandria database: a geometry-optimized ZrCdP structure (GGA-PBEsol).

a = 5.2556 Å, b = 3.7217 Å, c = 3.7217 Å
α = 120.00°, β = 90.00°, γ = 90.00°
Sites, in units of the cell vectors:
Cd: 0.9618 0.0000 0.0000
P: 0.6448 0.3333 0.6667
Zr: 0.3934 0.6667 0.3333

Values from the calculation:
E above lowest polymorph = 0 meV/atom
E_form = -0.308 eV/atom
SG = P3m1, No. 156

---

Entry from the Alexandria database: a geometry-optimized CuPbBr4 structure (GGA-PBEsol).

a = 6.1158 Å, b = 6.1158 Å, c = 6.1158 Å
α = 60.00°, β = 60.00°, γ = 60.00°
Site moments in Bohr magnetons follow the coordinates.
Sites, in units of the cell vectors:
Br: 0.3763 0.3763 0.3763  0.13
Br: 0.3763 0.3763 0.8711  0.13
Br: 0.8711 0.3763 0.3763  0.13
Br: 0.3763 0.8711 0.3763  0.13
Cu: 0.7500 0.7500 0.7500  0.01
Pb: 0.0000 0.0000 0.0000  0.01

Values from the calculation:
uncorrected formation energy = 0.592 eV per atom
SG = F-43m, No. 216

---

Entry from the Alexandria database: a geometry-optimized AlP2Se structure (GGA-PBEsol).

a = 3.5125 Å, b = 3.5125 Å, c = 5.4376 Å
α = 90.00°, β = 90.00°, γ = 90.00°
Sites, in units of the cell vectors:
P: 0.0000 0.0000 0.7020
P: 0.0000 0.0000 0.2980
Al: 0.5000 0.5000 0.5000
Se: 0.5000 0.5000 0.0000

Values from the calculation:
uncorrected formation energy = 0.243 eV per atom
SG = P4/mmm, No. 123

---

Entry from the Alexandria database: a geometry-optimized LiNbSn2As structure (GGA-PBEsol).

a = 4.2627 Å, b = 5.2555 Å, c = 5.2555 Å
α = 90.00°, β = 90.00°, γ = 90.00°
Site moments in Bohr magnetons follow the coordinates.
Sites, in units of the cell vectors:
As: 0.0000 0.0000 0.0000  0.05
Nb: 0.5000 0.5000 0.5000  1.87
Sn: 0.0000 0.0000 0.5000  -0.03
Sn: 0.0000 0.5000 0.0000  -0.03
Li: 0.5000 0.0000 0.0000  0.01

Values from the calculation:
E_form = 0.731 eV/atom
SG = P4/mmm, No. 123

---

Entry from the Alexandria database: a geometry-optimized AlCdN2 structure (GGA-PBEsol).

a = 3.9257 Å, b = 3.9257 Å, c = 3.9257 Å
α = 60.00°, β = 60.00°, γ = 60.00°
Sites, in units of the cell vectors:
N: 0.2500 0.2500 0.2500
N: 0.7500 0.7500 0.7500
Al: 0.0000 0.0000 0.0000
Cd: 0.5000 0.5000 0.5000

Values from the calculation:
E above lowest polymorph = 220 meV/atom
uncorrected formation energy = 0.839 eV per atom
SG = Fm-3m, No. 225

---

Entry from the Alexandria database: a geometry-optimized RbCdCoSn2 structure (GGA-PBEsol).

a = 4.8189 Å, b = 4.8189 Å, c = 6.1362 Å
α = 90.00°, β = 90.00°, γ = 90.00°
Sites, in units of the cell vectors:
Co: 0.0000 0.0000 0.0000
Sn: 0.0000 0.5000 0.0000
Sn: 0.5000 0.0000 0.0000
Rb: 0.0000 0.0000 0.5000
Cd: 0.5000 0.5000 0.5000

Values from the calculation:
E_form = 0.232 eV/atom
SG = P4/mmm, No. 123

---

Entry from the Alexandria database: a geometry-optimized Na2VPCO7 structure (GGA-PBEsol).

a = 5.2169 Å, b = 6.3732 Å, c = 8.9403 Å
α = 90.00°, β = 92.31°, γ = 90.00°
Site moments in Bohr magnetons follow the coordinates.
Sites, in units of the cell vectors:
Na: 0.7188 0.7720 0.0830  0.00
Na: 0.2812 0.2720 0.9170  0.00
Na: 0.2422 0.5312 0.2754  0.00
Na: 0.7578 0.0312 0.7246  0.00
V: 0.7180 0.2427 0.3368  1.85
V: 0.2820 0.7427 0.6632  1.85
P: 0.7783 0.7481 0.4259  0.02
P: 0.2217 0.2481 0.5741  0.02
C: 0.7958 0.2479 0.0684  0.01
C: 0.2042 0.7479 0.9316  0.01
O: 0.1630 0.7287 0.0691  0.00
O: 0.8370 0.2287 0.9309  0.00
O: 0.5635 0.2474 0.1205  -0.01
O: 0.4365 0.7474 0.8795  -0.01
O: 0.9788 0.2637 0.1724  -0.02
O: 0.0212 0.7637 0.8276  -0.02
O: 0.7283 0.9395 0.3212  -0.02
O: 0.2717 0.4395 0.6788  -0.02
O: 0.7101 0.5573 0.3228  -0.01
O: 0.2899 0.0573 0.6772  -0.01
O: 0.3883 0.2579 0.4368  0.00
O: 0.6117 0.7579 0.5632  0.00
O: 0.0652 0.7355 0.4739  0.00
O: 0.9348 0.2355 0.5261  0.00

Values from the calculation:
E above lowest polymorph = 10 meV/atom
uncorrected formation energy = -2.013 eV per atom
SG = P2_1, No. 4

---

Entry from the Alexandria database: a geometry-optimized BaNa2Si structure (GGA-PBEsol).

a = 5.3211 Å, b = 5.3211 Å, c = 5.3211 Å
α = 60.00°, β = 60.00°, γ = 60.00°
Sites, in units of the cell vectors:
Na: 0.2500 0.2500 0.2500
Na: 0.7500 0.7500 0.7500
Si: 0.0000 0.0000 0.0000
Ba: 0.5000 0.5000 0.5000

Values from the calculation:
uncorrected formation energy = -0.010 eV per atom
SG = Fm-3m, No. 225

---

Entry from the Alexandria database: a geometry-optimized Mg2TaAgPd structure (GGA-PBEsol).

a = 4.6380 Å, b = 4.6380 Å, c = 4.8818 Å
α = 90.00°, β = 90.00°, γ = 90.00°
Site moments in Bohr magnetons follow the coordinates.
Sites, in units of the cell vectors:
Mg: 0.0000 0.5000 0.0000  0.00
Mg: 0.5000 0.0000 0.0000  0.00
Pd: 0.0000 0.0000 0.5000  0.04
Ag: 0.0000 0.0000 0.0000  -0.01
Ta: 0.5000 0.5000 0.5000  0.84

Values from the calculation:
E_form = 1.070 eV/atom
SG = P4/mmm, No. 123

---

Entry from the Alexandria database: a geometry-optimized Mg3Zr5 structure (GGA-PBEsol).

a = 4.4402 Å, b = 6.2762 Å, c = 6.2762 Å
α = 98.54°, β = 90.00°, γ = 90.00°
Sites, in units of the cell vectors:
Mg: 0.0000 0.5000 0.5000
Mg: 0.5000 0.7261 0.7261
Mg: 0.5000 0.2739 0.2739
Zr: 0.0000 0.0000 0.0000
Zr: 0.0000 0.5000 0.0000
Zr: 0.0000 0.0000 0.5000
Zr: 0.5000 0.7822 0.2178
Zr: 0.5000 0.2178 0.7822

Values from the calculation:
E_form = 0.064 eV/atom
SG = Cmmm, No. 65

---

Entry from the Alexandria database: a geometry-optimized YCd2Br structure (GGA-PBEsol).

a = 4.0799 Å, b = 4.0799 Å, c = 6.3378 Å
α = 108.78°, β = 108.78°, γ = 90.00°
Sites, in units of the cell vectors:
Y: 0.5000 0.5000 0.0000
Br: 0.0000 0.0000 0.0000
Cd: 0.7500 0.2500 0.5000
Cd: 0.2500 0.7500 0.5000

Values from the calculation:
E above lowest polymorph = 0 meV/atom
uncorrected formation energy = -0.470 eV per atom
SG = I4/mmm, No. 139

---

Entry from the Alexandria database: a geometry-optimized K2MoSe structure (GGA-PBEsol).

a = 4.6188 Å, b = 5.1328 Å, c = 5.1328 Å
α = 110.69°, β = 90.00°, γ = 90.00°
Site moments in Bohr magnetons follow the coordinates.
Sites, in units of the cell vectors:
K: 0.0000 0.5000 0.0000  0.02
K: 0.0000 0.0000 0.5000  0.02
Mo: 0.5000 0.0000 0.0000  3.64
Se: 0.5000 0.5000 0.5000  0.02

Values from the calculation:
E above lowest polymorph = 0 meV/atom
uncorrected formation energy = 0.674 eV per atom
SG = Cmmm, No. 65

---

Entry from the Alexandria database: a geometry-optimized LiZrI3 structure (GGA-PBEsol).

a = 5.2244 Å, b = 5.2244 Å, c = 5.2244 Å
α = 90.00°, β = 90.00°, γ = 90.00°
Site moments in Bohr magnetons follow the coordinates.
Sites, in units of the cell vectors:
I: 0.0000 0.5000 0.0000  -0.06
I: 0.0000 0.0000 0.5000  -0.06
I: 0.5000 0.0000 0.0000  -0.06
Zr: 0.5000 0.5000 0.5000  1.37
Li: 0.0000 0.0000 0.0000  0.00

Values from the calculation:
uncorrected formation energy = -0.083 eV per atom
SG = Pm-3m, No. 221

---

Entry from the Alexandria database: a geometry-optimized CaZn2Hg structure (GGA-PBEsol).

a = 4.7767 Å, b = 4.7970 Å, c = 4.8020 Å
α = 119.97°, β = 119.83°, γ = 90.00°
Sites, in units of the cell vectors:
Zn: 0.0007 0.0007 0.0013
Zn: 0.7485 0.2485 0.4970
Ca: 0.4998 0.4998 0.9996
Hg: 0.2510 0.7510 0.5021

Values from the calculation:
E_form = -0.224 eV/atom
SG = Imm2, No. 44

---

Entry from the Alexandria database: a geometry-optimized Ta4CdOs structure (GGA-PBEsol).

a = 5.3181 Å, b = 5.3181 Å, c = 5.3181 Å
α = 60.00°, β = 60.00°, γ = 60.00°
Sites, in units of the cell vectors:
Cd: 0.7500 0.7500 0.7500
Os: 0.0000 0.0000 0.0000
Ta: 0.3747 0.3747 0.3747
Ta: 0.3747 0.3747 0.8760
Ta: 0.8760 0.3747 0.3747
Ta: 0.3747 0.8760 0.3747

Values from the calculation:
E_form = 0.481 eV/atom
SG = F-43m, No. 216

---

no.,size of the total moment (Bohr magnetons per cell)
1,0.0
2,0.0
3,0.0
4,2.1
5,2.3
6,0.0
7,0.7
8,0.0
9,2.4
10,0.0
11,0.0
12,4.0
13,0.0
14,1.3
15,0.0
16,0.0
17,4.5
18,2.0
19,0.0
20,0.0